No. 1
Here is a relaxed Ba3C crystal from the Alexandria database. Energies are from PBE.

a = 9.8675 Å, b = 9.8675 Å, c = 7.9941 Å
α = 90.00°, β = 90.00°, γ = 120.00°
Space group P6_3/mmc (No. 194)
Symmetry-distinct sites (fractional):
Ba1 0.0000 0.5000 0.0000
Ba2 0.1158 0.2315 0.2500
C1 0.0000 0.0000 0.0000
C2 0.3333 0.6667 0.7500

Properties
Total energy: -2.838 eV/atom
Size of the total moment: 1.554 μB per cell

=====

No. 2
Here is a relaxed Ca3Ac2CeTe6 crystal from the Alexandria database. Energies are from PBE.

a = 20.126 Å, b = 4.556 Å, c = 9.255 Å
α = 90.00°, β = 104.44°, γ = 90.00°
Space group C2/m (No. 12)
Symmetry-distinct sites (fractional):
Ca1 0.000 0.000 0.000
Ca2 0.168 0.500 0.334
Ac1 0.165 0.500 0.831
Ce1 0.000 0.000 0.500
Te1 0.005 0.500 0.249
Te2 0.163 0.000 0.094
Te3 0.167 0.000 0.570

Properties
Total energy: -4.763 eV/atom
Size of the total moment: 3.066 μB per cell
Raw formation energy: -1512 meV per atom

=====

No. 3
Here is a relaxed TbGdGa crystal from the Alexandria database. Energies are from PBE.

a = 4.9819 Å, b = 4.9819 Å, c = 3.6817 Å
α = 90.00°, β = 90.00°, γ = 120.00°
Space group P3m1 (No. 156)
Symmetry-distinct sites (fractional):
Tb1 0.0000 0.0000 0.0000
Gd1 0.3333 0.6667 0.5468
Ga1 0.6667 0.3333 0.2530

Properties
Total energy: -7.522 eV/atom
Size of the total moment: 7.178 μB per cell

=====

- Look up the total energy of the third one.
  -7.522 eV/atom

=====

- The highest total energy belongs to which entry?
  Ba3C

=====

- Which formula does entry 1 have?
  Ba3C